No. 1
Material: BaCrSn3
Method: DFT, GGA-PBE
State: optimized geometry

```
BaCrSn3
1.0
-2.0708 4.7562 0.5897
-4.7894 -2.0773 -0.0635
0.1768 -0.5661 5.1871
Sn Ba Cr
3 1 1
Cartesian
-2.3947 -1.0387 -0.0317
-1.0354 2.3781 0.2949
0.0884 -0.2831 2.5935
-3.3417 1.0564 2.8566
0.0000 0.0000 0.0000
```

V: 28.46 A^3/atom
total moment: 2.01 μB/cell
ΔH_f (0 K): -0.123 eV/atom
space-group type: Pm-3m (221)



No. 2
Material: BaCrSn3
Method: DFT, GGA-PBE
State: optimized geometry

```
BaCrSn3
1.0
-2.1479 -1.0047 4.4498
-4.2971 -1.2109 -2.3435
4.8998 -4.1098 -1.4254
Sn Cr Ba
3 1 1
Cartesian
-1.3565 -3.0738 -1.3472
1.4848 -4.6081 -0.3299
-0.2820 -2.9707 2.0490
-2.6471 -2.9031 0.9256
-1.5697 -6.2460 0.6862
```

V: 27.93 A^3/atom
total moment: 0.00 μB/cell
ΔH_f (0 K): -0.066 eV/atom
space-group type: Cm (8)



No. 3
Material: BaCr2Sn
Method: DFT, GGA-PBE
State: optimized geometry

```
BaCr2Sn
1.0
-0.0366 -2.0560 -8.3338
4.1917 -7.2769 1.7768
-0.9592 -6.3132 -2.8589
Ba Cr Sn
2 4 2
Cartesian
0.5409 -6.5178 -7.2355
0.0000 0.0000 0.0000
1.1635 -8.7984 -4.4653
2.5916 -12.3375 -8.0191
0.2641 -3.6136 -5.0556
2.3726 -6.5426 -1.2915
2.6551 -9.1283 -2.1802
2.0776 -4.6664 -3.2785
```

V: 32.05 A^3/atom
total moment: 19.18 μB/cell
energy above the lowest structure with this stoichiometry: 176 meV per atom
ΔH_f (0 K): 0.739 eV/atom
space-group type: I-42d (122)



No. 4
Material: BaCr2Sn
Method: DFT, GGA-PBE
State: optimized geometry

```
BaCr2Sn
1.0
0.0000 3.7349 3.7349
3.7349 0.0000 3.7349
3.7349 3.7349 0.0000
Ba Sn Cr
1 1 2
Cartesian
3.7349 3.7349 3.7349
0.0000 0.0000 0.0000
5.6024 5.6024 5.6024
1.8675 1.8675 1.8675
```

V: 26.05 A^3/atom
total moment: 9.47 μB/cell
energy above the lowest structure with this stoichiometry: 0 meV per atom
ΔH_f (0 K): 0.563 eV/atom
space-group type: Fm-3m (225)



No. 5
Material: BaTaCrSn2
Method: DFT, GGA-PBE
State: optimized geometry

```
BaTaCrSn2
1.0
-3.7022 3.3517 0.9482
-2.4158 -3.5630 3.1618
2.6166 1.7628 3.9856
Sn Ta Ba Cr
2 1 1 1
Cartesian
-1.8511 1.6758 0.4741
1.3083 0.8814 1.9928
-1.7507 0.7757 4.0478
-1.2079 -1.7815 1.5809
0.0000 0.0000 0.0000
```

V: 27.60 A^3/atom
total moment: 0.76 μB/cell
ΔH_f (0 K): 1.242 eV/atom
space-group type: P4/mmm (123)



No. 6
Material: BaCrTcSn2
Method: DFT, GGA-PBE
State: optimized geometry

```
BaCrTcSn2
1.0
5.2253 0.0000 0.0000
0.0000 5.7034 0.0000
0.0000 0.0000 5.2253
Ba Sn Cr Tc
1 2 1 1
Cartesian
0.0000 2.8517 0.0000
0.0000 0.0000 2.6126
2.6126 0.0000 0.0000
2.6126 2.8517 2.6126
0.0000 0.0000 0.0000
```

V: 31.14 A^3/atom
total moment: 5.24 μB/cell
ΔH_f (0 K): 0.567 eV/atom
space-group type: P4/mmm (123)



No. 7
Material: BaSr3Cr
Method: DFT, GGA-PBE
State: optimized geometry

```
BaSr3Cr
1.0
-1.4376 2.2346 -5.4788
0.4499 -5.5806 -2.3941
-5.8998 -0.9701 1.1525
Cr Sr Ba
1 3 1
Cartesian
0.0000 0.0000 0.0000
-0.7188 1.1173 -2.7394
0.2250 -2.7903 -1.1971
-2.9499 -0.4850 0.5762
-3.4438 -2.1581 -3.3602
```

V: 45.15 A^3/atom
total moment: 0.01 μB/cell
energy above the lowest structure with this stoichiometry: 0 meV per atom
ΔH_f (0 K): 0.737 eV/atom
space-group type: Pm-3m (221)



No. 8
Material: BaSr3Cr
Method: DFT, GGA-PBE
State: optimized geometry

```
BaSr3Cr
1.0
-4.2355 4.8904 1.8218
-2.3639 -3.8896 4.9454
4.6526 2.4757 4.1711
Cr Sr Ba
1 3 1
Cartesian
-0.9734 1.7383 5.4692
-1.1820 -1.9448 2.4727
2.3263 1.2379 2.0856
-2.1178 2.4452 0.9109
0.0000 0.0000 0.0000
```

V: 60.73 A^3/atom
total moment: 8.47 μB/cell
energy above the lowest structure with this stoichiometry: 582 meV per atom
ΔH_f (0 K): 1.319 eV/atom
space-group type: Pm-3m (221)



No. 9
Material: BaSrCr4
Method: DFT, GGA-PBE
State: optimized geometry

```
BaSrCr4
1.0
0.0000 4.3261 4.3261
4.3261 0.0000 4.3261
4.3261 4.3261 0.0000
Cr Ba Sr
4 1 1
Cartesian
3.2491 5.4031 5.4031
5.4031 3.2491 5.4031
3.2491 3.2491 3.2491
5.4031 5.4031 3.2491
0.0000 0.0000 0.0000
6.4891 6.4891 6.4891
```

V: 26.99 A^3/atom
total moment: 17.83 μB/cell
ΔH_f (0 K): 0.978 eV/atom
space-group type: F-43m (216)



No. 10
Material: Ba2SrTaCr
Method: DFT, GGA-PBE
State: optimized geometry

```
Ba2SrTaCr
1.0
-0.8732 2.7111 5.9780
-4.3726 0.7390 -0.9738
-1.5545 -5.9446 2.4689
Cr Ba Sr Ta
1 2 1 1
Cartesian
-2.1863 0.3695 -0.4869
-0.7773 -2.9723 1.2344
-0.4366 1.3556 2.9890
-3.4001 -1.2472 3.7365
0.0000 0.0000 0.0000
```

V: 39.82 A^3/atom
total moment: 0.63 μB/cell
ΔH_f (0 K): 1.079 eV/atom
space-group type: P4/mmm (123)



No. 11
Material: BaSrCr2Tc
Method: DFT, GGA-PBE
State: optimized geometry

```
BaSrCr2Tc
1.0
4.6121 0.0000 0.0000
0.0000 5.6585 0.0000
0.0000 0.0000 4.6121
Ba Tc Sr Cr
1 1 1 2
Cartesian
0.0000 2.8293 0.0000
2.3061 2.8293 2.3061
0.0000 0.0000 0.0000
2.3061 0.0000 0.0000
0.0000 0.0000 2.3061
```

V: 24.07 A^3/atom
total moment: 0.01 μB/cell
ΔH_f (0 K): 2.941 eV/atom
space-group type: P4/mmm (123)



No. 12
Material: BaTaCr3
Method: DFT, GGA-PBE
State: optimized geometry

```
BaTaCr3
1.0
-0.7531 -2.6382 -4.1521
-1.3279 -3.9355 2.7414
-4.7367 1.5227 -0.1084
Cr Ba Ta
3 1 1
Cartesian
-0.6640 -1.9678 1.3707
-2.3684 0.7614 -0.0542
-0.3765 -1.3191 -2.0761
-3.4089 -2.5255 -0.7596
0.0000 0.0000 0.0000
```

V: 24.65 A^3/atom
total moment: 8.84 μB/cell
energy above the lowest structure with this stoichiometry: 0 meV per atom
ΔH_f (0 K): 1.196 eV/atom
space-group type: Pm-3m (221)



No. 13
Material: BaTaCr2
Method: DFT, GGA-PBE
State: optimized geometry

```
BaTaCr2
1.0
-2.4948 -3.9731 2.2840
4.3609 -1.2588 2.5736
-1.3439 2.4585 8.7690
Ta Cr Ba
2 4 2
Cartesian
0.0000 0.0000 0.0000
-1.4528 -2.0653 6.7409
-1.3988 0.1968 7.7546
-2.6452 -1.7901 8.8972
-1.9741 -3.0197 4.5127
0.2070 -3.6481 5.7990
0.9331 -2.6159 2.4288
1.9751 -0.7081 6.8857
```

V: 28.70 A^3/atom
total moment: 9.04 μB/cell
energy above the lowest structure with this stoichiometry: 607 meV per atom
ΔH_f (0 K): 1.320 eV/atom
space-group type: I4_1/amd (141)



No. 14
Material: Ba2TaCr
Method: DFT, GGA-PBE
State: optimized geometry

```
Ba2TaCr
1.0
11.7905 -0.0316 -0.0185
11.2909 3.3960 -0.0185
11.2909 1.6458 2.9706
Ta Ba Cr
1 2 1
Cartesian
25.7792 3.7576 2.2002
17.1042 2.4932 1.4598
0.0819 0.0119 0.0070
8.5931 1.2525 0.7334
```

V: 30.18 A^3/atom
total moment: 4.87 μB/cell
energy above the lowest structure with this stoichiometry: 610 meV per atom
ΔH_f (0 K): 1.299 eV/atom
space-group type: R-3m (166)



No. 15
Material: BaTa4Cr
Method: DFT, GGA-PBE
State: optimized geometry

```
BaTa4Cr
1.0
0.0000 4.0278 4.0278
4.0278 0.0000 4.0278
4.0278 4.0278 0.0000
Cr Ta Ba
1 4 1
Cartesian
0.0000 0.0000 0.0000
5.0403 3.0153 5.0403
3.0153 3.0153 3.0153
5.0403 5.0403 3.0153
3.0153 5.0403 5.0403
6.0417 6.0417 6.0417
```

V: 21.78 A^3/atom
total moment: 2.09 μB/cell
ΔH_f (0 K): 0.953 eV/atom
space-group type: F-43m (216)